(1)
The following is a SCAN calculation of ScPtRh3 at its PBEsol-relaxed geometry, from the Alexandria database.

Properties
size of the total moment	2.22	μB per formula unit
E_form	1.094	eV per atom
calculated total energy	-180.276	eV per cell
DOS(E_F)	4.416	states/eV per cell

Lattice parameters (Å, degrees): 4.468 4.468 4.468 90.00 90.00 90.00
Element x y z (fractional)
Sc1 0.000 0.000 0.000
Pt1 0.500 0.500 0.500
Rh1 0.000 0.000 0.500
Rh2 0.000 0.500 0.000
Rh3 0.500 0.000 0.000

---

(2)
The following is a SCAN calculation of Pt2RhSe at its PBEsol-relaxed geometry, from the Alexandria database.

Properties
size of the total moment	0.01	μB per formula unit
calculated total energy	-385.982	eV per cell
DOS(E_F)	11.037	states/eV per cell

Lattice parameters (Å, degrees): 3.887 3.887 8.048 90.00 90.00 90.00
Element x y z (fractional)
Pt1 0.000 0.500 0.250
Pt2 0.000 0.500 0.750
Pt3 0.500 0.000 0.250
Pt4 0.500 0.000 0.750
Rh1 0.000 0.000 0.000
Rh2 0.500 0.500 0.500
Se1 0.000 0.000 0.500
Se2 0.500 0.500 0.000

---

(3)
The following is a SCAN calculation of Pt2RhSe at its PBEsol-relaxed geometry, from the Alexandria database.

Properties
size of the total moment	0.00	μB per formula unit
calculated total energy	-386.025	eV per cell
DOS(E_F)	6.875	states/eV per cell

Lattice parameters (Å, degrees): 2.740 4.801 9.374 90.00 90.00 90.00
Element x y z (fractional)
Pt1 0.000 0.000 0.243
Pt2 0.000 0.000 0.757
Pt3 0.500 0.500 0.243
Pt4 0.500 0.500 0.757
Rh1 0.000 0.500 0.000
Rh2 0.500 0.000 0.000
Se1 0.000 0.500 0.500
Se2 0.500 0.000 0.500

---

(4)
The following is a SCAN calculation of PtRhSe2 at its PBEsol-relaxed geometry, from the Alexandria database.

Properties
size of the total moment	0.00	μB per formula unit
calculated total energy	-432.935	eV per cell
DOS(E_F)	6.448	states/eV per cell

Lattice parameters (Å, degrees): 3.604 3.604 18.198 90.00 90.00 120.00
Element x y z (fractional)
Pt1 0.000 0.000 0.000
Pt2 0.333 0.667 0.667
Pt3 0.667 0.333 0.333
Rh1 0.000 0.000 0.500
Rh2 0.333 0.667 0.167
Rh3 0.667 0.333 0.833
Se1 0.000 0.000 0.247
Se2 0.000 0.000 0.753
Se3 0.333 0.667 0.419
Se4 0.333 0.667 0.914
Se5 0.667 0.333 0.086
Se6 0.667 0.333 0.581

---

(5)
The following is a SCAN calculation of PtRh2Se at its PBEsol-relaxed geometry, from the Alexandria database.

Properties
size of the total moment	0.00	μB per formula unit
calculated total energy	-314.581	eV per cell
DOS(E_F)	8.303	states/eV per cell

Lattice parameters (Å, degrees): 2.895 4.407 9.213 90.00 90.00 90.00
Element x y z (fractional)
Pt1 0.000 0.000 0.000
Pt2 0.500 0.500 0.500
Rh1 0.000 0.000 0.545
Rh2 0.000 0.500 0.768
Rh3 0.500 0.000 0.268
Rh4 0.500 0.500 0.045
Se1 0.000 0.500 0.263
Se2 0.500 0.000 0.763

---

(6)
The following is a SCAN calculation of PtRh2Se at its PBEsol-relaxed geometry, from the Alexandria database.

Properties
size of the total moment	0.00	μB per formula unit
calculated total energy	-314.231	eV per cell
DOS(E_F)	8.662	states/eV per cell

Lattice parameters (Å, degrees): 8.666 2.879 4.845 90.00 103.56 90.00
Element x y z (fractional)
Pt1 0.000 0.000 0.000
Pt2 0.500 0.500 0.000
Rh1 0.242 0.000 0.744
Rh2 0.258 0.500 0.256
Rh3 0.742 0.500 0.744
Rh4 0.758 0.000 0.256
Se1 0.000 0.500 0.500
Se2 0.500 0.000 0.500